Entry 1:
A geometry-optimized BaGd2Te4 structure. Source: Alexandria via LeMat-Bulk, functional GGA-PBE.

Summary:
Crystal system   orthorhombic
Uncorrected formation energy   -1.57 eV/atom

Unit cell a=4.536 b=13.836 c=16.431 alpha=90.00 beta=90.00 gamma=90.00
Last column: magnetic moment on the atom in μB.
Sites, in units of the cell vectors:
Te1 0.250 0.371 0.972  0.01
Te2 0.250 0.474 0.216  0.01
Te3 0.250 0.974 0.284  0.01
Te4 0.750 0.411 0.422  -0.01
Ba1 0.250 0.240 0.332  0.00
Ba2 0.750 0.760 0.668  0.00
Te5 0.750 0.526 0.784  0.01
Gd1 0.750 0.919 0.403  -6.93
Te6 0.750 0.629 0.028  0.01
Te7 0.750 0.129 0.472  0.01
Gd2 0.250 0.062 0.110  6.93
Te8 0.750 0.206 0.165  -0.01
Gd3 0.250 0.081 0.597  -6.93
Te9 0.750 0.026 0.716  0.01
Gd4 0.750 0.438 0.610  6.93
Gd5 0.750 0.938 0.890  6.93
Te10 0.250 0.794 0.835  -0.01
Gd6 0.250 0.581 0.903  -6.93
Ba3 0.750 0.260 0.832  0.00
Te11 0.250 0.294 0.665  -0.01
Te12 0.750 0.911 0.078  -0.01
Te13 0.250 0.871 0.528  0.01
Te14 0.250 0.589 0.578  -0.01
Ba4 0.250 0.740 0.168  0.00
Gd7 0.250 0.562 0.390  6.93
Gd8 0.750 0.419 0.097  -6.93
Te15 0.750 0.706 0.335  -0.01
Te16 0.250 0.089 0.922  -0.01

=====

Entry 2:
A geometry-optimized Ca4SnPb structure. Source: Alexandria via LeMat-Bulk, functional GGA-PBE.

Summary:
Crystal system   tetragonal
Energy of formation from the pure elements   -0.57 eV/atom

Unit cell a=5.362 b=5.362 c=7.606 alpha=89.99 beta=90.00 gamma=90.00
Sites, in units of the cell vectors:
Ca1 0.001 0.497 0.751
Pb1 0.001 0.997 0.498
Ca2 0.501 0.997 0.751
Ca3 0.501 0.997 0.246
Ca4 0.001 0.497 0.246
Sn1 0.501 0.497 0.998

=====

Entry 3:
A geometry-optimized Te2PdI structure. Source: Alexandria via LeMat-Bulk, functional GGA-PBE.

Summary:
Crystal system   triclinic
Uncorrected formation energy   -0.20 eV/atom
D(E_F)   0.00 states/eV/f.u.

Unit cell a=7.120 b=6.200 c=8.308 alpha=58.43 beta=100.83 gamma=76.34
Sites, in units of the cell vectors:
Te1 0.795 0.756 0.882
Pd1 0.322 0.386 0.900
Pd2 0.960 0.974 0.039
Te2 0.130 0.227 0.154
I1 0.800 0.859 0.327
Te3 0.487 0.604 0.057
Te4 0.152 0.133 0.784
I2 0.482 0.501 0.612

=====

Entry 4:
A geometry-optimized YMgMo2 structure. Source: Alexandria via LeMat-Bulk, functional GGA-PBE.

Summary:
Crystal system   monoclinic
Energy of formation from the pure elements   0.29 eV/atom
D(E_F)   2.84 states/eV/f.u.

Unit cell a=4.398 b=2.997 c=6.316 alpha=74.46 beta=90.00 gamma=90.00
Sites, in units of the cell vectors:
Mo1 0.500 0.187 0.212
Y1 0.000 0.463 0.479
Mg1 0.500 0.782 0.786
Mo2 0.000 0.068 0.023